# 1
The following is a DFT calculation (PBE) of a relaxed structure of Zr7Sb6.

```
data_Zr7Sb6
_cell_length_a 6.0565
_cell_length_b 6.0565
_cell_length_c 29.5028
_cell_angle_alpha 90.00
_cell_angle_beta 90.00
_cell_angle_gamma 120.00
_symmetry_space_group_name_H-M 'R -3 m'
_symmetry_Int_Tables_number 166
_symmetry_space_group_name_Hall '-R 3 2"'
loop_
_atom_site_label
_atom_site_type_symbol
_atom_site_fract_x
_atom_site_fract_y
_atom_site_fract_z
Zr1 Zr 0.0000 0.0000 0.0000
Zr2 Zr 0.0016 0.5008 0.5828
Sb1 Sb 0.0000 0.0000 0.1672
Sb2 Sb 0.0000 0.0000 0.3378
Sb3 Sb 0.0000 0.0000 0.4495
```

DOS at the Fermi energy, states/eV per atom: 0.62
M_tot, μB per formula unit: 0.00
E, eV per cell: -265.68
Volume, A^3/atom: 24.0

---

# 2
The following is a DFT calculation (PBE) of a relaxed structure of La2Nd3Tl.

```
data_La2Nd3Tl
_cell_length_a 5.019
_cell_length_b 15.852
_cell_length_c 5.013
_cell_angle_alpha 90.00
_cell_angle_beta 90.00
_cell_angle_gamma 90.00
_symmetry_space_group_name_H-M 'C m m m'
_symmetry_Int_Tables_number 65
_symmetry_space_group_name_Hall '-C 2 2'
loop_
_atom_site_label
_atom_site_type_symbol
_atom_site_fract_x
_atom_site_fract_y
_atom_site_fract_z
La1 La 0.000 0.164 0.000
Nd1 Nd 0.000 0.000 0.500
Nd2 Nd 0.000 0.340 0.500
Tl1 Tl 0.000 0.500 0.000
```

DOS at the Fermi energy, states/eV per atom: 1.45
Energy of formation from the pure elements, meV per atom: -109
M_tot, μB per formula unit: 0.00
E, eV per cell: -54.36
Distance to the lowest polymorph of the same formula, meV/atom: 0.0
Volume, A^3/atom: 33.2

---

# 3
The following is a DFT calculation (PBE) of a relaxed structure of Tm2Hg3Pb.

```
data_Tm2Hg3Pb
_cell_length_a 3.750
_cell_length_b 3.750
_cell_length_c 10.964
_cell_angle_alpha 90.00
_cell_angle_beta 90.00
_cell_angle_gamma 90.00
_symmetry_space_group_name_H-M 'P 4/m m m'
_symmetry_Int_Tables_number 123
_symmetry_space_group_name_Hall '-P 4 2'
loop_
_atom_site_label
_atom_site_type_symbol
_atom_site_fract_x
_atom_site_fract_y
_atom_site_fract_z
Tm1 Tm 0.000 0.000 0.167
Hg1 Hg 0.500 0.500 0.000
Hg2 Hg 0.500 0.500 0.316
Pb1 Pb 0.000 0.000 0.500
```

DOS at the Fermi energy, states/eV per atom: 0.58
Energy of formation from the pure elements, meV per atom: -321
M_tot, μB per formula unit: 0.00
E, eV per cell: -15.49
Distance to the lowest polymorph of the same formula, meV/atom: 0.0
Volume, A^3/atom: 25.7

---

# 4
The following is a DFT calculation (PBE) of a relaxed structure of Be2Cl.

```
data_Be2Cl
_cell_length_a 3.144
_cell_length_b 5.800
_cell_length_c 7.543
_cell_angle_alpha 90.00
_cell_angle_beta 90.00
_cell_angle_gamma 90.00
_symmetry_space_group_name_H-M 'I m m m'
_symmetry_Int_Tables_number 71
_symmetry_space_group_name_Hall '-I 2 2'
loop_
_atom_site_label
_atom_site_type_symbol
_atom_site_fract_x
_atom_site_fract_y
_atom_site_fract_z
Be1 Be 0.000 0.167 0.000
Cl1 Cl 0.000 0.500 0.000
```

DOS at the Fermi energy, states/eV per atom: 0.39
M_tot, μB per formula unit: 0.00
E, eV per cell: -14.62
Distance to the lowest polymorph of the same formula, meV/atom: 995.7
Volume, A^3/atom: 22.9

---

# 5
The following is a DFT calculation (PBE) of a relaxed structure of SrGa3P.

```
data_SrGa3P
_cell_length_a 4.947
_cell_length_b 4.947
_cell_length_c 4.947
_cell_angle_alpha 90.00
_cell_angle_beta 90.00
_cell_angle_gamma 90.00
_symmetry_space_group_name_H-M 'P m -3 m'
_symmetry_Int_Tables_number 221
_symmetry_space_group_name_Hall '-P 4 2 3'
loop_
_atom_site_label
_atom_site_type_symbol
_atom_site_fract_x
_atom_site_fract_y
_atom_site_fract_z
Sr1 Sr 0.000 0.000 0.000
Ga1 Ga 0.000 0.500 0.500
P1 P 0.500 0.500 0.500
```

DOS at the Fermi energy, states/eV per atom: 0.59
Energy of formation from the pure elements, meV per atom: 15
M_tot, μB per formula unit: 0.00
E, eV per cell: -16.10
Distance to the lowest polymorph of the same formula, meV/atom: 0.0
Volume, A^3/atom: 24.2

---

# 6
The following is a DFT calculation (PBE) of a relaxed structure of CrGaS2.

```
data_CrGaS2
_cell_length_a 3.0961
_cell_length_b 3.0961
_cell_length_c 25.5686
_cell_angle_alpha 90.00
_cell_angle_beta 90.00
_cell_angle_gamma 120.00
_symmetry_space_group_name_H-M 'R -3 m'
_symmetry_Int_Tables_number 166
_symmetry_space_group_name_Hall '-R 3 2"'
loop_
_atom_site_label
_atom_site_type_symbol
_atom_site_fract_x
_atom_site_fract_y
_atom_site_fract_z
Cr1 Cr 0.0000 0.0000 0.0000
Ga1 Ga 0.0000 0.0000 0.5000
S1 S 0.0000 0.0000 0.3903
```

DOS at the Fermi energy, states/eV per atom: 0.98
M_tot, μB per formula unit: 0.69
E, eV per cell: -67.03
Volume, A^3/atom: 17.7

---

# 7
The following is a DFT calculation (PBE) of a relaxed structure of TiSe2SBr.

```
data_TiSe2SBr
_cell_length_a 4.835
_cell_length_b 4.835
_cell_length_c 5.016
_cell_angle_alpha 90.00
_cell_angle_beta 90.00
_cell_angle_gamma 90.00
_symmetry_space_group_name_H-M 'P 4/m m m'
_symmetry_Int_Tables_number 123
_symmetry_space_group_name_Hall '-P 4 2'
loop_
_atom_site_label
_atom_site_type_symbol
_atom_site_fract_x
_atom_site_fract_y
_atom_site_fract_z
Ti1 Ti 0.000 0.000 0.000
Se1 Se 0.000 0.500 0.500
S1 S 0.500 0.500 0.500
Br1 Br 0.500 0.500 0.000
```

DOS at the Fermi energy, states/eV per atom: 1.50
M_tot, μB per formula unit: 0.08
E, eV per cell: -18.02
Distance to the lowest polymorph of the same formula, meV/atom: 507.2
Volume, A^3/atom: 23.4

---

# 8
The following is a DFT calculation (PBE) of a relaxed structure of TiRuC2.

```
data_TiRuC2
_cell_length_a 4.580
_cell_length_b 4.580
_cell_length_c 9.589
_cell_angle_alpha 90.00
_cell_angle_beta 90.00
_cell_angle_gamma 90.00
_symmetry_space_group_name_H-M 'I -4 2 d'
_symmetry_Int_Tables_number 122
_symmetry_space_group_name_Hall 'I -4 2bw'
loop_
_atom_site_label
_atom_site_type_symbol
_atom_site_fract_x
_atom_site_fract_y
_atom_site_fract_z
Ti1 Ti 0.000 0.000 0.000
Ru1 Ru 0.000 0.000 0.500
C1 C 0.227 0.250 0.625
```

DOS at the Fermi energy, states/eV per atom: 0.59
Energy of formation from the pure elements, meV per atom: 259
M_tot, μB per formula unit: 0.00
E, eV per cell: -138.34
Distance to the lowest polymorph of the same formula, meV/atom: 0.0
Volume, A^3/atom: 12.6

---

# 9
The following is a DFT calculation (PBE) of a relaxed structure of Pm14PrPu.

```
data_Pm14PrPu
_cell_length_a 7.291
_cell_length_b 7.291
_cell_length_c 10.261
_cell_angle_alpha 90.00
_cell_angle_beta 90.00
_cell_angle_gamma 90.00
_symmetry_space_group_name_H-M 'P 4/m m m'
_symmetry_Int_Tables_number 123
_symmetry_space_group_name_Hall '-P 4 2'
loop_
_atom_site_label
_atom_site_type_symbol
_atom_site_fract_x
_atom_site_fract_y
_atom_site_fract_z
Pm1 Pm 0.000 0.000 0.000
Pm2 Pm 0.000 0.500 0.000
Pm3 Pm 0.000 0.500 0.500
Pm4 Pm 0.247 0.247 0.252
Pm5 Pm 0.500 0.500 0.000
Pr1 Pr 0.500 0.500 0.500
Pu1 Pu 0.000 0.000 0.500
```

DOS at the Fermi energy, states/eV per atom: 1.97
Energy of formation from the pure elements, meV per atom: 43
M_tot, μB per formula unit: 6.57
E, eV per cell: -84.93
Volume, A^3/atom: 34.1

---

# 10
The following is a DFT calculation (PBE) of a relaxed structure of CaLa3.

```
data_CaLa3
_cell_length_a 5.323
_cell_length_b 5.323
_cell_length_c 5.323
_cell_angle_alpha 90.00
_cell_angle_beta 90.00
_cell_angle_gamma 90.00
_symmetry_space_group_name_H-M 'P m -3 m'
_symmetry_Int_Tables_number 221
_symmetry_space_group_name_Hall '-P 4 2 3'
loop_
_atom_site_label
_atom_site_type_symbol
_atom_site_fract_x
_atom_site_fract_y
_atom_site_fract_z
Ca1 Ca 0.000 0.000 0.000
La1 La 0.000 0.500 0.500
```

DOS at the Fermi energy, states/eV per atom: 1.57
Energy of formation from the pure elements, meV per atom: 61
M_tot, μB per formula unit: 0.00
E, eV per cell: -16.54
Volume, A^3/atom: 37.7

---

# 11
The following is a DFT calculation (PBE) of a relaxed structure of HgCOF2.

```
data_HgCOF2
_cell_length_a 4.653
_cell_length_b 4.653
_cell_length_c 2.793
_cell_angle_alpha 90.00
_cell_angle_beta 90.00
_cell_angle_gamma 90.00
_symmetry_space_group_name_H-M 'P 4/m m m'
_symmetry_Int_Tables_number 123
_symmetry_space_group_name_Hall '-P 4 2'
loop_
_atom_site_label
_atom_site_type_symbol
_atom_site_fract_x
_atom_site_fract_y
_atom_site_fract_z
Hg1 Hg 0.000 0.000 0.000
C1 C 0.500 0.500 0.500
O1 O 0.500 0.500 0.000
F1 F 0.000 0.500 0.500
```

DOS at the Fermi energy, states/eV per atom: 0.42
M_tot, μB per formula unit: 0.11
E, eV per cell: -17.70
Distance to the lowest polymorph of the same formula, meV/atom: 0.0
Volume, A^3/atom: 12.1

---

# 12
The following is a DFT calculation (PBE) of a relaxed structure of La3BC.

```
data_La3BC
_cell_length_a 5.060
_cell_length_b 5.060
_cell_length_c 5.060
_cell_angle_alpha 90.00
_cell_angle_beta 90.00
_cell_angle_gamma 90.00
_symmetry_space_group_name_H-M 'P m -3 m'
_symmetry_Int_Tables_number 221
_symmetry_space_group_name_Hall '-P 4 2 3'
loop_
_atom_site_label
_atom_site_type_symbol
_atom_site_fract_x
_atom_site_fract_y
_atom_site_fract_z
La1 La 0.000 0.000 0.500
B1 B 0.500 0.500 0.500
C1 C 0.000 0.000 0.000
```

DOS at the Fermi energy, states/eV per atom: 0.81
Energy of formation from the pure elements, meV per atom: 422
M_tot, μB per formula unit: 0.00
E, eV per cell: -28.57
Distance to the lowest polymorph of the same formula, meV/atom: 0.0
Volume, A^3/atom: 25.9

---

# 13
The following is a DFT calculation (PBE) of a relaxed structure of Pm3Y3Pu.

```
data_Pm3Y3Pu
_cell_length_a 6.2241
_cell_length_b 6.2241
_cell_length_c 42.7359
_cell_angle_alpha 90.00
_cell_angle_beta 90.00
_cell_angle_gamma 120.00
_symmetry_space_group_name_H-M 'R -3'
_symmetry_Int_Tables_number 148
_symmetry_space_group_name_Hall '-R 3'
loop_
_atom_site_label
_atom_site_type_symbol
_atom_site_fract_x
_atom_site_fract_y
_atom_site_fract_z
Pm1 Pm 0.9999 0.3312 0.3689
Y1 Y 0.9999 0.3328 0.5631
Pu1 Pu 0.0000 0.0000 0.1666
```

DOS at the Fermi energy, states/eV per atom: 2.36
Energy of formation from the pure elements, meV per atom: 211
M_tot, μB per formula unit: 6.29
E, eV per cell: -278.97
Volume, A^3/atom: 34.1

---

# 14
The following is a DFT calculation (PBE) of a relaxed structure of Na2MgZn2Ag5.

```
data_Na2MgZn2Ag5
_cell_length_a 10.072
_cell_length_b 10.072
_cell_length_c 3.904
_cell_angle_alpha 90.00
_cell_angle_beta 90.00
_cell_angle_gamma 90.00
_symmetry_space_group_name_H-M 'P 4/m b m'
_symmetry_Int_Tables_number 127
_symmetry_space_group_name_Hall '-P 4 2ab'
loop_
_atom_site_label
_atom_site_type_symbol
_atom_site_fract_x
_atom_site_fract_y
_atom_site_fract_z
Na1 Na 0.175 0.325 0.000
Mg1 Mg 0.000 0.000 0.000
Zn1 Zn 0.123 0.623 0.000
Ag1 Ag 0.000 0.500 0.500
Ag2 Ag 0.063 0.798 0.500
```

DOS at the Fermi energy, states/eV per atom: 0.29
Energy of formation from the pure elements, meV per atom: -52
M_tot, μB per formula unit: 0.00
E, eV per cell: -43.11
Volume, A^3/atom: 19.8

---

# 15
The following is a DFT calculation (PBE) of a relaxed structure of TbGd2Al.

```
data_TbGd2Al
_cell_length_a 4.768
_cell_length_b 4.768
_cell_length_c 4.825
_cell_angle_alpha 90.00
_cell_angle_beta 90.00
_cell_angle_gamma 90.00
_symmetry_space_group_name_H-M 'P 4/m m m'
_symmetry_Int_Tables_number 123
_symmetry_space_group_name_Hall '-P 4 2'
loop_
_atom_site_label
_atom_site_type_symbol
_atom_site_fract_x
_atom_site_fract_y
_atom_site_fract_z
Tb1 Tb 0.000 0.000 0.000
Gd1 Gd 0.000 0.500 0.500
Al1 Al 0.500 0.500 0.000
```

DOS at the Fermi energy, states/eV per atom: 0.83
Energy of formation from the pure elements, meV per atom: -198
M_tot, μB per formula unit: 15.24
E, eV per cell: -37.33
Distance to the lowest polymorph of the same formula, meV/atom: 0.0
Volume, A^3/atom: 27.4

---

# 16
The following is a DFT calculation (PBE) of a relaxed structure of TbErLuZn.

```
data_TbErLuZn
_cell_length_a 7.468
_cell_length_b 7.468
_cell_length_c 7.468
_cell_angle_alpha 90.00
_cell_angle_beta 90.00
_cell_angle_gamma 90.00
_symmetry_space_group_name_H-M 'F -4 3 m'
_symmetry_Int_Tables_number 216
_symmetry_space_group_name_Hall 'F -4 2 3'
loop_
_atom_site_label
_atom_site_type_symbol
_atom_site_fract_x
_atom_site_fract_y
_atom_site_fract_z
Tb1 Tb 0.000 0.000 0.000
Er1 Er 0.000 0.000 0.500
Lu1 Lu 0.250 0.250 0.750
Zn1 Zn 0.250 0.250 0.250
```

DOS at the Fermi energy, states/eV per atom: 1.00
Energy of formation from the pure elements, meV per atom: 24
M_tot, μB per formula unit: 0.00
E, eV per cell: -59.57
Volume, A^3/atom: 26.0

---

# 17
The following is a DFT calculation (PBE) of a relaxed structure of ZnAg4Sn.

```
data_ZnAg4Sn
_cell_length_a 7.816
_cell_length_b 7.816
_cell_length_c 7.816
_cell_angle_alpha 90.00
_cell_angle_beta 90.00
_cell_angle_gamma 90.00
_symmetry_space_group_name_H-M 'F -4 3 m'
_symmetry_Int_Tables_number 216
_symmetry_space_group_name_Hall 'F -4 2 3'
loop_
_atom_site_label
_atom_site_type_symbol
_atom_site_fract_x
_atom_site_fract_y
_atom_site_fract_z
Zn1 Zn 0.000 0.000 0.000
Ag1 Ag 0.125 0.125 0.625
Sn1 Sn 0.250 0.250 0.250
```

DOS at the Fermi energy, states/eV per atom: 0.14
Energy of formation from the pure elements, meV per atom: 122
M_tot, μB per formula unit: 0.00
E, eV per cell: -63.80
Distance to the lowest polymorph of the same formula, meV/atom: 107.2
Volume, A^3/atom: 19.9

---

# 18
The following is a DFT calculation (PBE) of a relaxed structure of HfTcHIr2.

```
data_HfTcHIr2
_cell_length_a 4.007
_cell_length_b 4.007
_cell_length_c 4.052
_cell_angle_alpha 90.00
_cell_angle_beta 90.00
_cell_angle_gamma 90.00
_symmetry_space_group_name_H-M 'P 4/m m m'
_symmetry_Int_Tables_number 123
_symmetry_space_group_name_Hall '-P 4 2'
loop_
_atom_site_label
_atom_site_type_symbol
_atom_site_fract_x
_atom_site_fract_y
_atom_site_fract_z
Hf1 Hf 0.000 0.000 0.000
Tc1 Tc 0.500 0.500 0.000
H1 H 0.500 0.500 0.500
Ir1 Ir 0.000 0.500 0.500
```

DOS at the Fermi energy, states/eV per atom: 1.09
M_tot, μB per formula unit: 0.30
E, eV per cell: -43.47
Volume, A^3/atom: 13.0

---

# 19
The following is a DFT calculation (PBE) of a relaxed structure of ScTc4Br.

```
data_ScTc4Br
_cell_length_a 7.445
_cell_length_b 7.445
_cell_length_c 7.445
_cell_angle_alpha 90.00
_cell_angle_beta 90.00
_cell_angle_gamma 90.00
_symmetry_space_group_name_H-M 'F -4 3 m'
_symmetry_Int_Tables_number 216
_symmetry_space_group_name_Hall 'F -4 2 3'
loop_
_atom_site_label
_atom_site_type_symbol
_atom_site_fract_x
_atom_site_fract_y
_atom_site_fract_z
Sc1 Sc 0.000 0.000 0.000
Tc1 Tc 0.125 0.125 0.625
Br1 Br 0.250 0.250 0.250
```

DOS at the Fermi energy, states/eV per atom: 1.13
M_tot, μB per formula unit: 0.00
E, eV per cell: -185.59
Volume, A^3/atom: 17.2

---

# 20
The following is a DFT calculation (PBE) of a relaxed structure of Mg2AgAu8.

```
data_Mg2AgAu8
_cell_length_a 4.503
_cell_length_b 7.043
_cell_length_c 12.796
_cell_angle_alpha 90.00
_cell_angle_beta 90.00
_cell_angle_gamma 90.00
_symmetry_space_group_name_H-M 'I m m m'
_symmetry_Int_Tables_number 71
_symmetry_space_group_name_Hall '-I 2 2'
loop_
_atom_site_label
_atom_site_type_symbol
_atom_site_fract_x
_atom_site_fract_y
_atom_site_fract_z
Mg1 Mg 0.000 0.000 0.200
Ag1 Ag 0.000 0.000 0.500
Au1 Au 0.000 0.204 0.000
Au2 Au 0.000 0.292 0.354
Au3 Au 0.000 0.500 0.160
```

DOS at the Fermi energy, states/eV per atom: 0.28
Energy of formation from the pure elements, meV per atom: -244
M_tot, μB per formula unit: 0.00
E, eV per cell: -69.89
Distance to the lowest polymorph of the same formula, meV/atom: 0.0
Volume, A^3/atom: 18.4